The following is a PBE calculation of an optimized crystal structure of BaAsCSe2, from Alexandria via LeMat-Bulk.

abc: 6.1883 6.1883 6.5900
angles: 90.00 90.00 90.00
Closest atoms and distances in Å follow each position.
Atoms (fractional coordinates):
1 Se 0.0000 0.5000 0.0000  2 Ba 3.09
2 As 0.0000 0.0000 0.5000  2 Ba 3.29
3 Se 0.5000 0.0000 0.0000  2 Ba 3.09
4 Ba 0.0000 0.0000 0.0000  4 Se 3.09, 2 As 3.29
5 C 0.5000 0.5000 0.5000  4 As 4.38, 8 Se 4.52

Summary:
Formation energy from raw total energies ... 1949 meV/atom
Fermi-level density of states ... 2.637 states/eV/atom

The following is a PBE calculation of an optimized crystal structure of BaAs2CSe, from Alexandria via LeMat-Bulk.

abc: 4.4353 6.0045 4.4353
angles: 90.00 90.00 90.00
Closest atoms and distances in Å follow each position.
Atoms (fractional coordinates):
1 C 0.0000 0.0000 0.0000  4 As 2.22
2 As 0.5000 0.0000 0.0000  2 C 2.22
3 Se 0.5000 0.5000 0.5000  4 Ba 3.14
4 Ba 0.0000 0.5000 0.0000  2 C 3.00, 4 Se 3.14
5 As 0.0000 0.0000 0.5000  2 C 2.22

Summary:
Formation energy from raw total energies ... 297 meV/atom
Fermi-level density of states ... 0.941 states/eV/atom

The following is a PBE calculation of an optimized crystal structure of BaAsCSe2, from Alexandria via LeMat-Bulk.

abc: 5.2369 5.2369 4.1575
angles: 90.00 90.00 90.00
Closest atoms and distances in Å follow each position.
Atoms (fractional coordinates):
1 Se 0.5000 0.0000 0.0000  2 C 2.62
2 Ba 0.5000 0.5000 0.5000  8 Se 3.34, 4 As 3.70
3 C 0.0000 0.0000 0.0000  2 As 2.08
4 As 0.0000 0.0000 0.5000  2 C 2.08
5 Se 0.0000 0.5000 0.0000  2 C 2.62

Summary:
Formation energy from raw total energies ... 227 meV/atom
Fermi-level density of states ... 0.363 states/eV/atom

The following is a PBE calculation of an optimized crystal structure of Ba3Ca2As4, from Alexandria via LeMat-Bulk.

abc: 4.9439 7.3448 9.1212
angles: 108.18 105.72 90.00
Closest atoms and distances in Å follow each position.
Atoms (fractional coordinates):
1 As 0.7895 0.7988 0.5790  3 Ca 2.86-2.89
2 As 0.5067 0.6773 0.0136  1 As 2.54
3 Ca 0.3294 0.0050 0.6586  4 As 2.86-3.06
4 As 0.4933 0.3227 0.9864  1 As 2.54
5 Ba 0.8613 0.4420 0.7225  5 As 3.26-3.63
6 As 0.2105 0.2012 0.4210  3 Ca 2.86-2.89
7 Ba 0.0000 0.0000 0.0000  6 As 3.45-3.51
8 Ba 0.1387 0.5580 0.2775  5 As 3.26-3.63
9 Ca 0.6706 0.9950 0.3414  4 As 2.86-3.06

Summary:
Formation enthalpy at 0 K ... -1.0788 eV/atom
Fermi-level density of states ... 0.121 states/eV/atom

The following is a PBE calculation of an optimized crystal structure of BaCaAs, from Alexandria via LeMat-Bulk.

abc: 4.6567 4.6567 10.4139
angles: 90.00 90.00 90.00
Closest atoms and distances in Å follow each position.
Atoms (fractional coordinates):
1 Ca 0.5000 0.5000 0.5000  4 As 3.02, 4 Ca 3.29
2 As 0.5000 0.0000 0.6847  4 Ca 3.02
3 Ba 0.5000 0.0000 0.1870  4 As 3.55
4 As 0.0000 0.5000 0.3153  4 Ca 3.02
5 Ba 0.0000 0.5000 0.8130  4 As 3.55
6 Ca 0.0000 0.0000 0.5000  4 As 3.02, 4 Ca 3.29

Summary:
Formation enthalpy at 0 K ... -0.8714 eV/atom
Fermi-level density of states ... 0.347 states/eV/atom

The following is a PBE calculation of an optimized crystal structure of Ba2CaAs2, from Alexandria via LeMat-Bulk.

abc: 8.4277 8.5687 10.1925
angles: 90.00 97.71 90.00
Closest atoms and distances in Å follow each position.
Atoms (fractional coordinates):
1 Ba 0.5553 0.1591 0.6753  3 As 3.28-3.50
2 Ba 0.4652 0.7281 0.9266  5 As 3.29-3.63
3 Ba 0.5348 0.2719 0.0734  5 As 3.29-3.63
4 Ba 0.9652 0.7719 0.9266  5 As 3.29-3.63
5 Ca 0.6493 0.5925 0.6239  4 As 2.86-2.93
6 As 0.2992 0.6122 0.5937  3 Ca 2.86-2.93
7 As 0.7398 0.9361 0.1272  1 Ca 2.91
8 Ba 0.0553 0.3409 0.6753  3 As 3.28-3.50
9 Ba 0.0348 0.2281 0.0734  5 As 3.29-3.63
10 Ca 0.1493 0.9075 0.6239  4 As 2.86-2.93
11 Ba 0.4447 0.8409 0.3247  3 As 3.28-3.50
12 Ba 0.9447 0.6591 0.3247  3 As 3.28-3.50
13 As 0.7602 0.4361 0.8728  1 Ca 2.91
14 Ca 0.3507 0.4075 0.3761  4 As 2.86-2.93
15 As 0.2602 0.0639 0.8728  1 Ca 2.91
16 As 0.2398 0.5639 0.1272  1 Ca 2.91
17 As 0.2008 0.1122 0.4063  3 Ca 2.86-2.93
18 As 0.7008 0.3878 0.4063  3 Ca 2.86-2.93
19 As 0.7992 0.8878 0.5937  3 Ca 2.86-2.93
20 Ca 0.8507 0.0925 0.3761  4 As 2.86-2.93

Summary:
Formation enthalpy at 0 K ... -1.1331 eV/atom

The following is a PBE calculation of an optimized crystal structure of Ba2CaAs2, from Alexandria via LeMat-Bulk.

abc: 9.0961 9.0961 4.0165
angles: 90.00 90.00 90.00
Closest atoms and distances in Å follow each position.
Atoms (fractional coordinates):
1 As 0.8246 0.3246 0.5000  6 Ba 3.23-3.44
2 Ca 0.0000 0.0000 0.0000  4 Ba 3.58, 8 As 3.91
3 Ba 0.8723 0.6277 0.0000  6 As 3.23-3.44, 1 Ba 3.28, 2 Ca 3.58
4 As 0.3246 0.1754 0.5000  6 Ba 3.23-3.44
5 Ba 0.3723 0.8723 0.0000  6 As 3.23-3.44, 1 Ba 3.28, 2 Ca 3.58
6 As 0.6754 0.8246 0.5000  6 Ba 3.23-3.44
7 Ba 0.6277 0.1277 0.0000  6 As 3.23-3.44, 1 Ba 3.28, 2 Ca 3.58
8 Ba 0.1277 0.3723 0.0000  6 As 3.23-3.44, 1 Ba 3.28, 2 Ca 3.58
9 As 0.1754 0.6754 0.5000  6 Ba 3.23-3.44
10 Ca 0.5000 0.5000 0.0000  4 Ba 3.58, 8 As 3.91

Summary:
Formation enthalpy at 0 K ... -0.6618 eV/atom
Fermi-level density of states ... 0.155 states/eV/atom

The following is a PBE calculation of an optimized crystal structure of BaCaAs3, from Alexandria via LeMat-Bulk.

abc: 5.4113 5.4113 5.4113
angles: 90.00 90.00 90.00
Closest atoms and distances in Å follow each position.
Atoms (fractional coordinates):
1 Ba 0.5000 0.5000 0.5000  12 As 3.83
2 As 0.0000 0.5000 0.0000  2 Ca 2.71
3 As 0.5000 0.0000 0.0000  2 Ca 2.71
4 As 0.0000 0.0000 0.5000  2 Ca 2.71
5 Ca 0.0000 0.0000 0.0000  6 As 2.71

Summary:
Formation enthalpy at 0 K ... -0.2292 eV/atom
Fermi-level density of states ... 0.845 states/eV/atom

The following is a PBE calculation of an optimized crystal structure of BaCaAs, from Alexandria via LeMat-Bulk.

abc: 7.5249 7.5258 3.9614
angles: 74.73 74.75 30.52
Closest atoms and distances in Å follow each position.
Atoms (fractional coordinates):
1 Ba 0.3754 0.3754 0.6246  1 Ca 3.26, 4 As 3.42
2 As 0.0157 0.0157 0.9843  4 Ca 3.09, 4 Ba 3.42
3 Ca 0.6089 0.6089 0.3911  4 As 3.09, 1 Ba 3.26

Summary:
Formation enthalpy at 0 K ... -0.7160 eV/atom
Fermi-level density of states ... 0.453 states/eV/atom

The following is a PBE calculation of an optimized crystal structure of BaCaAs2, from Alexandria via LeMat-Bulk.

abc: 3.6451 3.6451 8.3514
angles: 90.00 90.00 90.00
Closest atoms and distances in Å follow each position.
Atoms (fractional coordinates):
1 As 0.0000 0.0000 0.9771  4 Ca 3.20, 4 Ba 3.44
2 As 0.0000 0.0000 0.5229  4 Ca 3.20, 4 Ba 3.44
3 Ba 0.5000 0.5000 0.2500  8 As 3.44, 4 Ba 3.65
4 Ca 0.5000 0.5000 0.7500  8 As 3.20

Summary:
Formation enthalpy at 0 K ... -0.8170 eV/atom
Fermi-level density of states ... 0.603 states/eV/atom

The following is a PBE calculation of an optimized crystal structure of BaCaAs, from Alexandria via LeMat-Bulk.

abc: 5.4395 5.4395 5.4395
angles: 60.00 60.00 60.00
Closest atoms and distances in Å follow each position.
Atoms (fractional coordinates):
1 Ba 0.7500 0.7500 0.7500  4 As 3.33, 4 Ca 3.33
2 As 0.5000 0.5000 0.5000  4 Ba 3.33
3 Ca 0.0000 0.0000 0.0000  4 Ba 3.33

Summary:
Formation enthalpy at 0 K ... -0.1126 eV/atom
Fermi-level density of states ... 0.699 states/eV/atom

The following is a PBE calculation of an optimized crystal structure of BaCaAs2, from Alexandria via LeMat-Bulk.

abc: 3.6825 5.2736 6.4020
angles: 90.00 90.00 90.00
Closest atoms and distances in Å follow each position.
Atoms (fractional coordinates):
1 As 0.5000 0.5000 0.3750  2 Ca 3.20, 4 Ba 3.22
2 As 0.0000 0.0000 0.8750  2 Ba 3.20, 4 Ca 3.22
3 Ba 0.0000 0.0000 0.3750  6 As 3.20-3.22
4 Ca 0.5000 0.5000 0.8750  6 As 3.20-3.22

Summary:
Formation enthalpy at 0 K ... -0.7326 eV/atom
Fermi-level density of states ... 0.724 states/eV/atom

no.,mass density (kg/m3),spin magnetization (μB per formula unit)
1,2515,0.081
2,5316,0.000
3,5566,0.000
4,4360,0.000
5,3711,0.936
6,4231,0.000
7,4643,0.000
8,4215,0.000
9,3823,0.729
10,4897,0.000
11,3682,0.000
12,4371,0.000